No. 1
First-principles (PBE+U) data for PaCoCuO5 after structural relaxation, as listed in the Alexandria database.

Values from the calculation:
Fermi-level density of states	0.7	states/eV/f.u.
theoretical density	6.8	g cm⁻³
total DFT energy (no corrections)	-0.5281	Ry per atom

Lattice parameters (Å, degrees): 5.6196 5.6196 7.7105 102.90 102.90 109.93
Last column: nearest neighbours and their distance in Å.
Element x y z (fractional)
1 O 0.6268 0.6776 0.9178  1 Cu 1.96, 1 Co 2.01, 1 Pa 2.09
2 O 0.6421 0.9766 0.2781  1 Cu 1.89, 1 Co 1.94
3 O 0.3579 0.0234 0.7219  1 Cu 1.89, 1 Co 1.94
4 O 0.3224 0.3733 0.5822  1 Cu 1.96, 1 Co 2.01, 1 Pa 2.09
5 O 0.0234 0.3579 0.2219  1 Cu 1.89, 1 Co 1.94
6 O 0.6776 0.6268 0.4178  1 Cu 1.96, 1 Co 2.01, 1 Pa 2.09
7 O 0.1307 0.8693 0.2500  1 Co 2.09, 2 Pa 2.27
8 O 0.9766 0.6421 0.7781  1 Cu 1.89, 1 Co 1.94
9 O 0.3733 0.3224 0.0822  1 Cu 1.96, 1 Co 2.01, 1 Pa 2.09
10 O 0.8693 0.1307 0.7500  1 Co 2.09, 2 Pa 2.27
11 Cu 0.6867 0.3133 0.2500  4 O 1.89-1.96
12 Cu 0.3133 0.6867 0.7500  4 O 1.89-1.96
13 Pa 0.0000 0.0000 0.0000  6 O 2.09-2.27
14 Pa 0.0000 0.0000 0.5000  6 O 2.09-2.27
15 Co 0.6419 0.3581 0.7500  5 O 1.94-2.09
16 Co 0.3581 0.6419 0.2500  5 O 1.94-2.09

---

No. 2
First-principles (PBE+U) data for CoCuPbO4 after structural relaxation, as listed in the Alexandria database.

Values from the calculation:
Fermi-level density of states	2.2	states/eV/f.u.
theoretical density	7.8	g cm⁻³
total DFT energy (no corrections)	-0.3968	Ry per atom

Lattice parameters (Å, degrees): 5.9142 6.1981 6.5000 121.62 90.00 118.50
Last column: nearest neighbours and their distance in Å.
Element x y z (fractional)
1 Co 0.5000 0.5000 0.5000  6 O 1.97-1.99
2 Co 0.0000 0.5000 0.5000  6 O 1.97-1.99
3 Cu 0.1427 0.2854 0.8927  4 O 2.07-2.13
4 Cu 0.8573 0.7146 0.1073  4 O 2.07-2.13
5 O 0.7288 0.9500 0.7250  1 Co 1.97, 1 Cu 2.07
6 O 0.2480 0.4961 0.7032  2 Co 1.99, 1 Cu 2.13, 1 Pb 2.22
7 O 0.7520 0.5039 0.2968  2 Co 1.99, 1 Cu 2.13, 1 Pb 2.22
8 O 0.2480 0.4961 0.2929  2 Co 1.99, 1 Cu 2.13, 1 Pb 2.22
9 O 0.2712 0.0500 0.2750  1 Co 1.97, 1 Cu 2.07
10 O 0.2212 0.9500 0.7250  1 Co 1.97, 1 Cu 2.07
11 O 0.7520 0.5039 0.7071  2 Co 1.99, 1 Cu 2.13, 1 Pb 2.22
12 O 0.7788 0.0500 0.2750  1 Co 1.97, 1 Cu 2.07
13 Pb 0.5000 0.0000 0.5000  6 O 2.22
14 Pb 0.5000 0.0000 0.0000  6 O 2.22

---

No. 3
First-principles (PBE+U) data for Co4Cu3PbO12 after structural relaxation, as listed in the Alexandria database.

Values from the calculation:
Fermi-level density of states	4.6	states/eV/f.u.
theoretical density	7.0	g cm⁻³
total DFT energy (no corrections)	-0.4054	Ry per atom

Lattice parameters (Å, degrees): 6.3470 6.3470 6.3470 109.47 109.47 109.47
Last column: nearest neighbours and their distance in Å.
Element x y z (fractional)
1 Co 0.5000 0.0000 0.0000  6 O 1.97
2 Co 0.0000 0.5000 0.0000  6 O 1.97
3 Co 0.0000 0.0000 0.5000  6 O 1.97
4 Co 0.5000 0.5000 0.5000  6 O 1.97
5 O 0.3120 0.8253 0.1373  1 Cu 1.88, 2 Co 1.97
6 O 0.1747 0.8627 0.6880  1 Cu 1.88, 2 Co 1.97
7 O 0.6880 0.8253 0.5132  1 Cu 1.88, 2 Co 1.97
8 O 0.1373 0.3120 0.8253  1 Cu 1.88, 2 Co 1.97
9 O 0.5132 0.6880 0.8253  1 Cu 1.88, 2 Co 1.97
10 O 0.3120 0.1747 0.4868  1 Cu 1.88, 2 Co 1.97
11 O 0.4868 0.3120 0.1747  1 Cu 1.88, 2 Co 1.97
12 O 0.6880 0.1747 0.8627  1 Cu 1.88, 2 Co 1.97
13 O 0.8627 0.6880 0.1747  1 Cu 1.88, 2 Co 1.97
14 O 0.8253 0.5132 0.6880  1 Cu 1.88, 2 Co 1.97
15 O 0.1747 0.4868 0.3120  1 Cu 1.88, 2 Co 1.97
16 O 0.8253 0.1373 0.3120  1 Cu 1.88, 2 Co 1.97
17 Pb 0.0000 0.0000 0.0000  12 O 2.62
18 Cu 0.5000 0.0000 0.5000  4 O 1.88
19 Cu 0.0000 0.5000 0.5000  4 O 1.88
20 Cu 0.5000 0.5000 0.0000  4 O 1.88

---

No. 4
First-principles (PBE+U) data for CoCuPb2O6 after structural relaxation, as listed in the Alexandria database.

Values from the calculation:
Fermi-level density of states	4.1	states/eV/f.u.
theoretical density	8.0	g cm⁻³
total DFT energy (no corrections)	-0.3903	Ry per atom

Lattice parameters (Å, degrees): 4.8363 5.2144 5.2144 90.00 90.00 90.00
Last column: nearest neighbours and their distance in Å.
Element x y z (fractional)
1 O 0.7073 0.7560 0.2440  1 Co 1.89, 1 Cu 1.97
2 O 0.7073 0.2440 0.2440  1 Co 1.89, 1 Cu 1.97
3 O 0.7073 0.7560 0.7560  1 Co 1.89, 1 Cu 1.97
4 O 0.1876 0.5000 0.5000  1 Cu 1.94
5 O 0.7073 0.2440 0.7560  1 Co 1.89, 1 Cu 1.97
6 O 0.2185 0.0000 0.0000  1 Co 1.77
7 Pb 0.0190 0.0000 0.5000  4 O 2.38
8 Pb 0.0190 0.5000 0.0000  4 O 2.38
9 Cu 0.5882 0.5000 0.5000  5 O 1.94-1.97
10 Co 0.5853 0.0000 0.0000  5 O 1.77-1.89

---

No. 5
First-principles (PBE+U) data for CoCuPdO4 after structural relaxation, as listed in the Alexandria database.

Values from the calculation:
theoretical density	6.6	g cm⁻³
total DFT energy (no corrections)	-0.4075	Ry per atom

Lattice parameters (Å, degrees): 5.8125 5.9454 6.0725 120.71 90.00 119.26
Last column: nearest neighbours and their distance in Å.
Element x y z (fractional)
1 O 0.7439 0.4879 0.2793  2 Co 1.95, 1 Cu 2.02, 1 Pd 2.06
2 O 0.2810 0.0375 0.2687  1 Co 1.95, 1 Cu 1.99, 2 Pd 2.06
3 O 0.2561 0.5121 0.2914  2 Co 1.95, 1 Cu 2.02, 1 Pd 2.06
4 O 0.7565 0.0375 0.2687  1 Co 1.95, 1 Cu 1.99, 2 Pd 2.06
5 O 0.2561 0.5121 0.7207  2 Co 1.95, 1 Cu 2.02, 1 Pd 2.06
6 O 0.7190 0.9625 0.7313  1 Co 1.95, 1 Cu 1.99, 2 Pd 2.06
7 O 0.7439 0.4879 0.7086  2 Co 1.95, 1 Cu 2.02, 1 Pd 2.06
8 O 0.2435 0.9625 0.7313  1 Co 1.95, 1 Cu 1.99, 2 Pd 2.06
9 Cu 0.1331 0.2663 0.8831  4 O 1.99-2.02
10 Cu 0.8669 0.7337 0.1169  4 O 1.99-2.02
11 Co 0.0000 0.5000 0.5000  6 O 1.95
12 Co 0.5000 0.5000 0.5000  6 O 1.95
13 Pd 0.5000 0.0000 0.5000  6 O 2.06
14 Pd 0.5000 0.0000 0.0000  6 O 2.06

---

No. 6
First-principles (PBE+U) data for PmCo4Cu3O12 after structural relaxation, as listed in the Alexandria database.

Values from the calculation:
Fermi-level density of states	2.9	states/eV/f.u.
theoretical density	6.5	g cm⁻³
total DFT energy (no corrections)	-0.4369	Ry per atom

Lattice parameters (Å, degrees): 6.3269 6.3269 6.3269 109.47 109.47 109.47
Last column: nearest neighbours and their distance in Å.
Element x y z (fractional)
1 Cu 0.5000 0.5000 0.0000  4 O 1.89
2 Cu 0.0000 0.5000 0.5000  4 O 1.89
3 Cu 0.5000 0.0000 0.5000  4 O 1.89
4 Co 0.5000 0.0000 0.0000  6 O 1.96
5 Co 0.0000 0.5000 0.0000  6 O 1.96
6 Co 0.5000 0.5000 0.5000  6 O 1.96
7 Co 0.0000 0.0000 0.5000  6 O 1.96
8 O 0.1352 0.3074 0.8278  1 Cu 1.89, 2 Co 1.96
9 O 0.3074 0.8278 0.1352  1 Cu 1.89, 2 Co 1.96
10 O 0.5203 0.6926 0.8278  1 Cu 1.89, 2 Co 1.96
11 O 0.3074 0.1722 0.4797  1 Cu 1.89, 2 Co 1.96
12 O 0.8278 0.5203 0.6926  1 Cu 1.89, 2 Co 1.96
13 O 0.8648 0.6926 0.1722  1 Cu 1.89, 2 Co 1.96
14 O 0.6926 0.1722 0.8648  1 Cu 1.89, 2 Co 1.96
15 O 0.1722 0.8648 0.6926  1 Cu 1.89, 2 Co 1.96
16 O 0.6926 0.8278 0.5203  1 Cu 1.89, 2 Co 1.96
17 O 0.4797 0.3074 0.1722  1 Cu 1.89, 2 Co 1.96
18 O 0.1722 0.4797 0.3074  1 Cu 1.89, 2 Co 1.96
19 O 0.8278 0.1352 0.3074  1 Cu 1.89, 2 Co 1.96
20 Pm 0.0000 0.0000 0.0000  12 O 2.57

---

No. 7
First-principles (PBE+U) data for PmCo2Cu2O7 after structural relaxation, as listed in the Alexandria database.

Values from the calculation:
Fermi-level density of states	7.6	states/eV/f.u.
theoretical density	4.2	g cm⁻³
total DFT energy (no corrections)	-0.4362	Ry per atom

Lattice parameters (Å, degrees): 5.3882 5.3882 8.4954 71.51 71.51 60.00
Last column: nearest neighbours and their distance in Å.
Element x y z (fractional)
1 O 0.6052 0.2908 0.1882  1 Co 1.81, 1 Cu 1.87
2 O 0.9158 0.6052 0.1882  1 Co 1.81, 1 Cu 1.87
3 O 0.0842 0.7092 0.8118  1 Co 1.81, 1 Cu 1.87
4 O 0.5000 0.5000 0.5000  2 Co 1.79
5 O 0.7092 0.3948 0.8118  1 Co 1.81, 1 Cu 1.87
6 O 0.3948 0.0842 0.8118  1 Co 1.81, 1 Cu 1.87
7 O 0.2908 0.9158 0.1882  1 Co 1.81, 1 Cu 1.87
8 Cu 0.7364 0.7364 0.7908  3 O 1.87
9 Cu 0.2636 0.2636 0.2092  3 O 1.87
10 Co 0.4245 0.4245 0.7266  4 O 1.79-1.81
11 Co 0.5755 0.5755 0.2734  4 O 1.79-1.81
12 Pm 0.0000 0.0000 0.0000  6 O 2.37

---

No. 8
First-principles (PBE+U) data for PmCoCu2O4 after structural relaxation, as listed in the Alexandria database.

Values from the calculation:
Fermi-level density of states	2.6	states/eV/f.u.
theoretical density	6.9	g cm⁻³
total DFT energy (no corrections)	-0.4558	Ry per atom

Lattice parameters (Å, degrees): 5.5278 4.9824 4.9824 76.65 56.31 56.31
Last column: nearest neighbours and their distance in Å.
Element x y z (fractional)
1 Cu 0.5000 0.2497 0.7503  4 O 2.01
2 Cu 0.5000 0.7503 0.2497  4 O 2.01
3 O 0.9999 0.9032 0.5047  2 Cu 2.01, 1 Co 2.01
4 O 0.0001 0.4953 0.0968  2 Cu 2.01, 1 Co 2.01
5 O 0.5922 0.5047 0.9032  2 Cu 2.01, 1 Co 2.01
6 O 0.4078 0.0968 0.4953  2 Cu 2.01, 1 Co 2.01
7 Pm 0.0000 0.0000 0.0000  8 O 2.45-2.62
8 Co 0.0000 0.5000 0.5000  4 O 2.01

---

Question: total DFT energy (no corrections) of number 2 (CoCuPbO4)?
Answer: -0.3968 Ry per atom

---

Question: What is the total DFT energy (no corrections) in the eighth record?
Answer: -0.4558 Ry per atom

---

Question: Which value of total DFT energy (no corrections) does entry 6 give?
Answer: -0.4369 Ry per atom